No. 1
Mn2HgPdCl | PBE | optimized geometry

Values from the calculation:
The calculation puts the electronic total energy at -19.99 eV/cell. The space group is P4/mmm (123). For the total magnetic moment, the calculation gives 9.18 μB per cell.

a = 5.1446 Å, b = 5.2391 Å, c = 5.1446 Å
α = 90.00°, β = 90.00°, γ = 90.00°
Each line ends with the local moment (μB).
Element x y z (fractional)
Mn: 0.0000 0.0000 0.5000  4.31
Mn: 0.5000 0.0000 0.0000  4.12
Pd: 0.5000 0.5000 0.5000  0.06
Cl: 0.0000 0.5000 0.0000  0.07
Hg: 0.0000 0.0000 0.0000  0.01



No. 2
AlP2SeS | PBE | optimized geometry

Values from the calculation:
The value obtained for the polymorph energy (0 for the lowest one) is 0 meV per atom. The space group is P4/mmm (123). For the total magnetic moment, the calculation gives 0.00 μB per cell.

a = 4.7415 Å, b = 4.7415 Å, c = 4.4134 Å
α = 90.00°, β = 90.00°, γ = 90.00°
Element x y z (fractional)
S: 0.0000 0.0000 0.5000
Al: 0.0000 0.0000 0.0000
P: 0.5000 0.0000 0.0000
P: 0.0000 0.5000 0.0000
Se: 0.5000 0.5000 0.5000



No. 3
CdAgBr | PBE | optimized geometry

Values from the calculation:
The value obtained for the polymorph energy (0 for the lowest one) is 124 meV per atom. The space group is I4mm (107). For the total magnetic moment, the calculation gives 0.00 μB per cell.

a = 6.3441 Å, b = 6.3441 Å, c = 6.3441 Å
α = 148.40°, β = 148.40°, γ = 45.29°
Element x y z (fractional)
Cd: 0.6542 0.6542 0.0000
Br: 0.3352 0.3352 0.0000
Ag: 0.0106 0.0106 0.0000



No. 4
SmPtPb2 | PBE | optimized geometry

Values from the calculation:
The space group is R-3m (166). For the total magnetic moment, the calculation gives 0.00 μB per cell. For the formation energy, the calculation gives 0.001 eV per atom.

a = 3.6376 Å, b = 3.6376 Å, c = 10.4591 Å
α = 79.99°, β = 79.99°, γ = 60.00°
Element x y z (fractional)
Sm: 0.0000 0.0000 0.0000
Pb: 0.1047 0.1047 0.6859
Pb: 0.8953 0.8953 0.3141
Pt: 0.5000 0.5000 0.5000



No. 5
NbV3C | PBE | optimized geometry

Values from the calculation:
The value obtained for the polymorph energy (0 for the lowest one) is 61 meV per atom. The space group is Cmcm (63). For the total magnetic moment, the calculation gives 0.00 μB per cell. For the formation energy, the calculation gives -0.071 eV per atom.

a = 4.8490 Å, b = 5.4192 Å, c = 6.0444 Å
α = 123.89°, β = 90.00°, γ = 90.01°
Element x y z (fractional)
Nb: 0.2500 0.2666 0.6333
Nb: 0.7500 0.7334 0.3667
C: 0.5000 0.0000 0.0000
C: 0.0000 0.0000 0.0000
V: 0.7499 0.6654 0.8328
V: 0.2499 0.7961 0.1342
V: 0.2501 0.3346 0.1672
V: 0.7501 0.2039 0.8658
V: 0.7501 0.2041 0.3382
V: 0.2499 0.7959 0.6618



No. 6
La6CeNd2Y | PBE | optimized geometry

Values from the calculation:
The space group is C2/m (12). For the total magnetic moment, the calculation gives 0.80 μB per cell. For the formation energy, the calculation gives 0.203 eV per atom.

a = 10.0505 Å, b = 7.0018 Å, c = 6.8531 Å
α = 120.72°, β = 115.40°, γ = 90.00°
Each line ends with the local moment (μB).
Element x y z (fractional)
La: 0.8212 0.4619 0.3699  -0.01
La: 0.1788 0.5381 0.6301  -0.01
La: 0.4210 0.6486 0.2972  0.00
La: 0.1788 0.0920 0.6301  -0.01
La: 0.5790 0.3514 0.7028  0.00
La: 0.8212 0.9080 0.3699  -0.01
Nd: 0.8036 0.9372 0.8745  0.00
Nd: 0.1964 0.0628 0.1255  0.00
Ce: 0.0000 0.5000 0.0000  0.72
Y: 0.5000 0.0000 0.0000  -0.02